The following is a PBE-GGA calculation of crystalline Y3Tm4Th at its relaxed geometry, from Alexandria via LeMat-Bulk.

As for the crystal system: orthorhombic. The value obtained for the size of the total moment is 0.000 μB/atom. As for the density of states at the Fermi level: 36.18 states/eV per cell. For the total DFT energy (no corrections), the calculation gives -82.3 eV per cell. As for the offset from the most stable computed form: 2.14 eV per formula unit.

It has space group Cmmm (No. 65), with a = 11.701 Å, b = 13.248 Å, c = 3.356 Å, α = 90.00°, β = 90.00° and γ = 90.00°. The inequivalent atoms are Y at (0.000, 0.000, 0.000), Y at (0.250, 0.250, 0.500), Tm at (0.000, 0.251, 0.000), Tm at (0.243, 0.500, 0.500) and Th at (0.000, 0.500, 0.000).